Entry w
CaY2Os, relaxed, DFT PBE; symmetry = I-4m2 (119)
1.0
-0.792 -0.727 5.847
1.796 -5.163 2.337
2.309 4.164 -3.559
Y Ca Os
2 1 1
direct
0.250 0.750 0.500 Y
0.000 0.000 0.000 Y
0.500 0.500 0.000 Ca
0.750 0.250 0.500 Os

Entry x
CaY2Os, relaxed, DFT PBE; symmetry = Amm2 (38)
1.0
3.601 0.000 0.000
0.000 4.408 -0.001
0.000 2.206 7.728
Y Ca Os
2 1 1
direct
0.500 0.339 0.197 Y
0.000 0.984 0.907 Y
0.000 0.667 0.540 Ca
0.500 0.510 0.856 Os

If you had to bet on the most stable structure above, which would it be? Bet on entry x.